This record from the Alexandria database describes crystalline CeY12Ho5 at its relaxed geometry. The functional is PBE-GGA.

```
18
Lattice="-1.716 0.718 -14.987 6.504 -1.102 -8.403 -0.995 -4.937 -0.123" Properties=species:S:1:pos:R:3 pbc="T T T"
Y -0.537 -4.587 -17.897
Y -1.931 -1.869 -12.584
Y 2.422 -2.608 -18.129
Ho 3.193 -0.256 -15.594
Y 1.370 -2.712 -5.385
Y 4.330 -0.734 -5.616
Y 0.805 -2.476 -10.330
Y 2.987 -2.845 -13.183
Y -1.568 -4.696 -5.130
Ho -1.356 -2.109 -7.555
Y 1.027 0.111 -12.808
Ho 1.595 -0.128 -7.797
Ho 3.564 -3.086 -8.163
Y -1.143 0.478 -9.980
Ho 0.228 -2.235 -15.350
Y 2.765 -5.431 -10.705
Y 5.723 -3.452 -10.929
Ce 5.508 -6.039 -8.526
```

mass density: 5.87 g cm⁻³
symmetry: No. 65
energy of formation: 0.04 eV/atom
spin magnetization: 0.0648 μB/atom
total DFT energy (no corrections): -105.74 eV per formula unit

***

This record from the Alexandria database describes crystalline HoMgAs2 at its relaxed geometry. The functional is PBE-GGA.

```
4
Lattice="4.164 0.000 0.000 2.082 3.606 0.000 2.082 1.202 8.152" Properties=species:S:1:pos:R:3 pbc="T T T"
Mg 0.000 0.000 0.000
Ho 4.164 2.404 4.076
As 6.246 3.606 2.474
As 2.082 1.202 5.678
```

mass density: 4.60 g cm⁻³
symmetry: No. 166
energy of formation: -0.44 eV/atom
offset from the most stable computed form: 415 meV/atom
spin magnetization: 0.0000 μB/atom
total DFT energy (no corrections): -17.22 eV per formula unit

***

This record from the Alexandria database describes crystalline LaCrCl2 at its relaxed geometry. The functional is PBE-GGA.

```
4
Lattice="-0.860 4.365 -2.653 -4.663 0.898 -2.068 -3.051 3.682 1.991" Properties=species:S:1:pos:R:3 pbc="T T T"
Cr -4.287 4.472 -1.365
La -6.431 6.708 -2.047
Cl 0.000 0.000 0.000
Cl -2.144 2.236 -0.682
```

mass density: 4.42 g cm⁻³
symmetry: No. 216
offset from the most stable computed form: 386 meV/atom
formation energy without anion corrections: -47.95 kJ/mol of atoms
spin magnetization: 1.2486 μB/atom
total DFT energy (no corrections): -20.23 eV per formula unit

***

This record from the Alexandria database describes crystalline Ca3SmBi2As at its relaxed geometry. The functional is PBE-GGA.

```
7
Lattice="5.527 0.000 0.000 0.000 5.347 0.000 -2.763 -2.673 8.303" Properties=species:S:1:pos:R:3 pbc="T T T"
Bi 0.000 0.000 6.094
Bi 2.763 2.673 2.208
Ca 0.000 0.000 2.916
Ca 2.763 2.673 5.387
Ca 0.000 2.673 0.000
As 0.000 0.000 0.000
Sm 2.763 0.000 0.000
```

mass density: 5.17 g cm⁻³
symmetry: No. 71
energy of formation: -0.88 eV/atom
spin magnetization: 0.0000 μB/atom
total DFT energy (no corrections): -29.31 eV per formula unit

***

This record from the Alexandria database describes crystalline RbBaInHg2 at its relaxed geometry. The functional is PBE-GGA.

```
5
Lattice="6.105 0.000 0.000 0.000 7.342 0.000 0.000 0.000 6.105" Properties=species:S:1:pos:R:3 pbc="T T T"
Hg 0.000 0.000 3.052
Ba 0.000 3.671 0.000
In 3.052 3.671 3.052
Rb 0.000 0.000 0.000
Hg 3.052 0.000 0.000
```

mass density: 4.48 g cm⁻³
symmetry: No. 123
energy of formation: 0.45 eV/atom
spin magnetization: 0.0000 μB/atom
total DFT energy (no corrections): -3.99 eV per formula unit

***

This record from the Alexandria database describes crystalline NaCS2N at its relaxed geometry. The functional is PBE-GGA.

```
5
Lattice="-0.044 5.102 0.826 -1.702 0.638 -4.028 -4.769 -0.359 1.958" Properties=species:S:1:pos:R:3 pbc="T T T"
C -3.258 2.690 -0.621
S -2.385 -0.179 0.979
S -0.022 2.551 0.413
N -0.851 0.319 -2.014
Na 0.000 0.000 0.000
```

mass density: 1.59 g cm⁻³
symmetry: No. 123
offset from the most stable computed form: 2409 meV/atom
formation energy without anion corrections: 269.60 kJ/mol of atoms
spin magnetization: 0.8000 μB/atom
total DFT energy (no corrections): -13.15 eV per formula unit

***

This record from the Alexandria database describes crystalline CaSm12Tl3 at its relaxed geometry. The functional is PBE-GGA.

```
16
Lattice="5.755 0.000 0.000 0.000 5.755 0.000 0.000 0.000 15.270" Properties=species:S:1:pos:R:3 pbc="T T T"
Sm 0.000 2.878 13.152
Sm 2.878 0.000 13.152
Sm 0.000 2.878 9.502
Ca 0.000 0.000 0.000
Sm 2.878 0.000 9.502
Sm 2.878 2.878 0.000
Sm 2.878 0.000 2.118
Sm 2.878 2.878 3.836
Sm 2.878 2.878 7.635
Tl 0.000 0.000 3.850
Tl 0.000 0.000 11.420
Sm 0.000 2.878 5.768
Sm 2.878 0.000 5.768
Sm 0.000 2.878 2.118
Tl 0.000 0.000 7.635
Sm 2.878 2.878 11.433
```

mass density: 8.07 g cm⁻³
symmetry: No. 123
energy of formation: -0.05 eV/atom
spin magnetization: 0.0000 μB/atom
total DFT energy (no corrections): -66.46 eV per formula unit

***

This record from the Alexandria database describes crystalline ThBOs at its relaxed geometry. The functional is PBE-GGA.

```
3
Lattice="4.482 0.000 0.000 0.000 3.713 0.000 0.000 -1.857 3.216" Properties=species:S:1:pos:R:3 pbc="T T T"
B 0.747 1.857 1.072
Os 0.747 0.000 0.000
Th 2.988 0.000 2.144
```

mass density: 13.44 g cm⁻³
symmetry: No. 187
energy of formation: -0.32 eV/atom
offset from the most stable computed form: 0 meV/atom
spin magnetization: 0.0000 μB/atom
total DFT energy (no corrections): -26.30 eV per formula unit

***

This record from the Alexandria database describes crystalline CaBe3Au at its relaxed geometry. The functional is PBE-GGA.

```
5
Lattice="-1.088 -4.294 0.014 2.397 -0.595 3.678 -3.563 0.911 2.470" Properties=species:S:1:pos:R:3 pbc="T T T"
Au 0.000 0.000 0.000
Be -1.782 0.455 1.235
Ca -1.127 -1.989 3.081
Be 1.198 -0.297 1.839
Be -0.544 -2.147 0.007
```

mass density: 5.04 g cm⁻³
symmetry: No. 221
energy of formation: 0.15 eV/atom
offset from the most stable computed form: 0 meV/atom
spin magnetization: 0.0000 μB/atom
total DFT energy (no corrections): -15.69 eV per formula unit

***

This record from the Alexandria database describes crystalline Ca3EuPt at its relaxed geometry. The functional is PBE-GGA.

```
5
Lattice="5.687 0.000 0.000 0.000 5.687 0.000 0.000 0.000 5.687" Properties=species:S:1:pos:R:3 pbc="T T T"
Eu 2.844 2.844 2.844
Ca 2.844 0.000 0.000
Pt 0.000 0.000 0.000
Ca 0.000 0.000 2.844
Ca 0.000 2.844 0.000
```

mass density: 4.22 g cm⁻³
symmetry: No. 221
energy of formation: -0.43 eV/atom
spin magnetization: 1.5111 μB/atom
total DFT energy (no corrections): -24.47 eV per formula unit

***

This record from the Alexandria database describes crystalline Sc3TlO at its relaxed geometry. The functional is PBE-GGA.

```
10
Lattice="2.651 3.228 4.350 4.047 -4.230 1.448 4.381 2.190 -3.519" Properties=species:S:1:pos:R:3 pbc="T T T"
Sc 8.227 -0.682 2.926
Sc 2.346 0.551 2.497
Tl 0.000 0.000 0.000
Sc 2.851 1.869 -0.647
O 8.309 0.891 1.710
Tl 5.539 0.594 1.140
O 2.770 0.297 0.570
Sc 8.733 0.637 -0.218
Sc 3.112 -1.530 -0.141
Sc 7.967 2.718 2.420
```

mass density: 5.45 g cm⁻³
symmetry: No. 167
formation energy without anion corrections: -93.65 kJ/mol of atoms
spin magnetization: 0.0000 μB/atom
total DFT energy (no corrections): -31.17 eV per formula unit

***

This record from the Alexandria database describes crystalline MnW3Au at its relaxed geometry. The functional is PBE-GGA.

```
5
Lattice="-1.780 -1.709 4.163 -0.413 -4.396 -1.981 4.481 -1.084 1.471" Properties=species:S:1:pos:R:3 pbc="T T T"
W -0.207 -2.198 -0.990
W -0.890 -0.854 2.081
W 2.240 -0.542 0.736
Mn 1.144 -3.594 1.827
Au 0.000 0.000 0.000
```

mass density: 11.77 g cm⁻³
symmetry: No. 221
energy of formation: 2.75 eV/atom
offset from the most stable computed form: 1449 meV/atom
spin magnetization: 0.7672 μB/atom
total DFT energy (no corrections): -37.56 eV per formula unit